(1)
Entry from Alexandria: a crystal of BRh3Pb relaxed with PBEsol (meta-GGA SCAN).

Calculated formation energy, eV/atom: -0.225
ΔE to the lowest computed polymorph, eV per formula unit: 0.00

The structure in CIF format:
```
data_BRh3Pb
_symmetry_space_group_name_H-M 'P 1'
_symmetry_Int_Tables_number 1
_cell_length_a 4.2243
_cell_length_b 5.7837
_cell_length_c 5.7837
_cell_angle_alpha 90.00
_cell_angle_beta 90.00
_cell_angle_gamma 90.00
loop_
_symmetry_equiv_pos_as_xyz
'x,y,z'
loop_
_atom_site_label
_atom_site_type_symbol
_atom_site_fract_x
_atom_site_fract_y
_atom_site_fract_z
_atom_site_occupancy
Pb1 Pb 0.5000 0.5000 0.0000 1
Pb2 Pb 0.5000 0.0000 0.5000 1
B1 B 0.0000 0.5000 0.5000 1
B2 B 0.0000 0.0000 0.0000 1
Rh1 Rh 0.0000 0.2056 0.2944 1
Rh2 Rh 0.0000 0.7056 0.2056 1
Rh3 Rh 0.0000 0.7944 0.7056 1
Rh4 Rh 0.0000 0.2944 0.7944 1
Rh5 Rh 0.5000 0.0000 0.0000 1
Rh6 Rh 0.5000 0.5000 0.5000 1
```

(2)
Entry from Alexandria: a crystal of Li6VO5F relaxed with PBEsol (meta-GGA SCAN).

E_form (uncorrected), eV per atom: -2.4749

The structure in CIF format:
```
data_Li6VO5F
_symmetry_space_group_name_H-M 'P 1'
_symmetry_Int_Tables_number 1
_cell_length_a 5.4854
_cell_length_b 5.5612
_cell_length_c 10.0688
_cell_angle_alpha 89.62
_cell_angle_beta 88.13
_cell_angle_gamma 59.85
loop_
_symmetry_equiv_pos_as_xyz
'x,y,z'
loop_
_atom_site_label
_atom_site_type_symbol
_atom_site_fract_x
_atom_site_fract_y
_atom_site_fract_z
_atom_site_occupancy
Li1 Li 0.6320 0.3501 0.2490 1
Li2 Li 0.3758 0.3185 0.4823 1
Li3 Li 0.3109 0.3387 0.0940 1
Li4 Li 0.0022 0.7054 0.2504 1
Li5 Li 0.3743 0.9755 0.2552 1
Li6 Li 0.9912 0.3682 0.3661 1
Li7 Li 0.6534 0.9740 0.7552 1
Li8 Li 0.0266 0.3401 0.7515 1
Li9 Li 0.6657 0.6512 0.5942 1
Li10 Li 0.6765 0.7003 0.9821 1
Li11 Li 0.6270 0.3637 0.8668 1
Li12 Li 0.2954 0.6966 0.7479 1
V1 V 0.0098 0.0026 0.0050 1
V2 V 0.0060 0.9856 0.5055 1
O1 O 0.9971 0.0207 0.3346 1
O2 O 0.7067 0.9903 0.5616 1
O3 O 0.2977 0.6889 0.5543 1
O4 O 0.3082 0.3421 0.2905 1
O5 O 0.9968 0.7172 0.0581 1
O6 O 0.0132 0.2808 0.5545 1
O7 O 0.6568 0.6470 0.7911 1
O8 O 0.7047 0.3041 0.0545 1
O9 O 0.3071 0.9944 0.0577 1
O10 O 0.9825 0.0198 0.8340 1
F1 F 0.3478 0.3359 0.7981 1
F2 F 0.6871 0.6495 0.2974 1
```

(3)
Entry from Alexandria: a crystal of YErRu2 relaxed with PBEsol (meta-GGA SCAN).

Calculated formation energy, eV/atom: -0.431

The structure in CIF format:
```
data_YErRu2
_symmetry_space_group_name_H-M 'P 1'
_symmetry_Int_Tables_number 1
_cell_length_a 4.7116
_cell_length_b 4.7116
_cell_length_c 4.7116
_cell_angle_alpha 60.00
_cell_angle_beta 60.00
_cell_angle_gamma 60.00
loop_
_symmetry_equiv_pos_as_xyz
'x,y,z'
loop_
_atom_site_label
_atom_site_type_symbol
_atom_site_fract_x
_atom_site_fract_y
_atom_site_fract_z
_atom_site_occupancy
Y1 Y 0.5000 0.5000 0.5000 1
Ru1 Ru 0.7500 0.7500 0.7500 1
Ru2 Ru 0.2500 0.2500 0.2500 1
Er1 Er 0.0000 0.0000 0.0000 1
```

(4)
Entry from Alexandria: a crystal of LiZn2C relaxed with PBEsol (meta-GGA SCAN).

Calculated formation energy, eV/atom: 0.630

The structure in CIF format:
```
data_LiZn2C
_symmetry_space_group_name_H-M 'P 1'
_symmetry_Int_Tables_number 1
_cell_length_a 6.1869
_cell_length_b 6.1869
_cell_length_c 6.1869
_cell_angle_alpha 60.00
_cell_angle_beta 60.00
_cell_angle_gamma 60.00
loop_
_symmetry_equiv_pos_as_xyz
'x,y,z'
loop_
_atom_site_label
_atom_site_type_symbol
_atom_site_fract_x
_atom_site_fract_y
_atom_site_fract_z
_atom_site_occupancy
Zn1 Zn 0.6250 0.6250 0.6250 1
Zn2 Zn 0.6250 0.6250 0.1250 1
Zn3 Zn 0.6250 0.1250 0.6250 1
Zn4 Zn 0.1250 0.6250 0.6250 1
C1 C 0.7500 0.7500 0.7500 1
C2 C 0.5000 0.5000 0.5000 1
Li1 Li 0.2500 0.2500 0.2500 1
Li2 Li 0.0000 0.0000 0.0000 1
```

(5)
Entry from Alexandria: a crystal of YBe2Tc relaxed with PBEsol (meta-GGA SCAN).

Calculated formation energy, eV/atom: 0.271
ΔE to the lowest computed polymorph, eV per formula unit: 0.68

The structure in CIF format:
```
data_YBe2Tc
_symmetry_space_group_name_H-M 'P 1'
_symmetry_Int_Tables_number 1
_cell_length_a 3.2568
_cell_length_b 4.4333
_cell_length_c 4.8166
_cell_angle_alpha 117.40
_cell_angle_beta 109.76
_cell_angle_gamma 90.00
loop_
_symmetry_equiv_pos_as_xyz
'x,y,z'
loop_
_atom_site_label
_atom_site_type_symbol
_atom_site_fract_x
_atom_site_fract_y
_atom_site_fract_z
_atom_site_occupancy
Y1 Y 0.2582 0.7582 0.5164 1
Be1 Be 0.0416 0.0416 0.0832 1
Be2 Be 0.7310 0.2310 0.4619 1
Tc1 Tc 0.4692 0.4692 0.9384 1
```

(6)
Entry from Alexandria: a crystal of Cr3NiSb relaxed with PBEsol (meta-GGA SCAN).

E_form (uncorrected), eV per atom: 0.7767

The structure in CIF format:
```
data_Cr3NiSb
_symmetry_space_group_name_H-M 'P 1'
_symmetry_Int_Tables_number 1
_cell_length_a 4.3425
_cell_length_b 4.3425
_cell_length_c 4.3425
_cell_angle_alpha 90.00
_cell_angle_beta 90.00
_cell_angle_gamma 90.00
loop_
_symmetry_equiv_pos_as_xyz
'x,y,z'
loop_
_atom_site_label
_atom_site_type_symbol
_atom_site_fract_x
_atom_site_fract_y
_atom_site_fract_z
_atom_site_occupancy
Sb1 Sb 0.5000 0.5000 0.5000 1
Cr1 Cr 0.0000 0.5000 0.0000 1
Cr2 Cr 0.0000 0.0000 0.5000 1
Cr3 Cr 0.5000 0.0000 0.0000 1
Ni1 Ni 0.0000 0.0000 0.0000 1
```

(7)
Entry from Alexandria: a crystal of FeReBr2 relaxed with PBEsol (meta-GGA SCAN).

E_form (uncorrected), eV per atom: 1.3598
ΔE to the lowest computed polymorph, eV per formula unit: 3.10

The structure in CIF format:
```
data_FeReBr2
_symmetry_space_group_name_H-M 'P 1'
_symmetry_Int_Tables_number 1
_cell_length_a 3.1178
_cell_length_b 4.4977
_cell_length_c 4.4977
_cell_angle_alpha 90.00
_cell_angle_beta 90.00
_cell_angle_gamma 90.00
loop_
_symmetry_equiv_pos_as_xyz
'x,y,z'
loop_
_atom_site_label
_atom_site_type_symbol
_atom_site_fract_x
_atom_site_fract_y
_atom_site_fract_z
_atom_site_occupancy
Br1 Br 0.0000 0.0000 0.5000 1
Br2 Br 0.0000 0.5000 0.0000 1
Fe1 Fe 0.5000 0.5000 0.5000 1
Re1 Re 0.5000 0.0000 0.0000 1
```

(8)
Entry from Alexandria: a crystal of NaMn2Os relaxed with PBEsol (meta-GGA SCAN).

Calculated formation energy, eV/atom: 0.822

The structure in CIF format:
```
data_NaMn2Os
_symmetry_space_group_name_H-M 'P 1'
_symmetry_Int_Tables_number 1
_cell_length_a 4.1544
_cell_length_b 4.1544
_cell_length_c 4.1544
_cell_angle_alpha 60.00
_cell_angle_beta 60.00
_cell_angle_gamma 60.00
loop_
_symmetry_equiv_pos_as_xyz
'x,y,z'
loop_
_atom_site_label
_atom_site_type_symbol
_atom_site_fract_x
_atom_site_fract_y
_atom_site_fract_z
_atom_site_occupancy
Na1 Na 0.0000 0.0000 0.0000 1
Mn1 Mn 0.2500 0.2500 0.2500 1
Mn2 Mn 0.7500 0.7500 0.7500 1
Os1 Os 0.5000 0.5000 0.5000 1
```

(9)
Entry from Alexandria: a crystal of YBe3Co relaxed with PBEsol (meta-GGA SCAN).

Calculated formation energy, eV/atom: -0.113

The structure in CIF format:
```
data_YBe3Co
_symmetry_space_group_name_H-M 'P 1'
_symmetry_Int_Tables_number 1
_cell_length_a 4.0348
_cell_length_b 4.0348
_cell_length_c 4.0348
_cell_angle_alpha 90.00
_cell_angle_beta 90.00
_cell_angle_gamma 90.00
loop_
_symmetry_equiv_pos_as_xyz
'x,y,z'
loop_
_atom_site_label
_atom_site_type_symbol
_atom_site_fract_x
_atom_site_fract_y
_atom_site_fract_z
_atom_site_occupancy
Y1 Y 0.5000 0.5000 0.5000 1
Be1 Be 0.0000 0.5000 0.0000 1
Be2 Be 0.0000 0.0000 0.5000 1
Be3 Be 0.5000 0.0000 0.0000 1
Co1 Co 0.0000 0.0000 0.0000 1
```

(10)
Entry from Alexandria: a crystal of Na2SnHg2 relaxed with PBEsol (meta-GGA SCAN).

Calculated formation energy, eV/atom: -0.256

The structure in CIF format:
```
data_Na2SnHg2
_symmetry_space_group_name_H-M 'P 1'
_symmetry_Int_Tables_number 1
_cell_length_a 4.1504
_cell_length_b 7.7466
_cell_length_c 7.7466
_cell_angle_alpha 90.00
_cell_angle_beta 90.00
_cell_angle_gamma 90.00
loop_
_symmetry_equiv_pos_as_xyz
'x,y,z'
loop_
_atom_site_label
_atom_site_type_symbol
_atom_site_fract_x
_atom_site_fract_y
_atom_site_fract_z
_atom_site_occupancy
Na1 Na 0.5000 0.1693 0.6693 1
Na2 Na 0.5000 0.6693 0.8307 1
Na3 Na 0.5000 0.8307 0.3307 1
Na4 Na 0.5000 0.3307 0.1693 1
Hg1 Hg 0.0000 0.3680 0.8680 1
Hg2 Hg 0.0000 0.8680 0.6320 1
Hg3 Hg 0.0000 0.6320 0.1320 1
Hg4 Hg 0.0000 0.1320 0.3680 1
Sn1 Sn 0.0000 0.0000 0.0000 1
Sn2 Sn 0.0000 0.5000 0.5000 1
```

no.,V (Å³ per cell)
1,141.31
2,265.45
3,73.96
4,167.46
5,57.09
6,81.89
7,63.07
8,50.70
9,65.68
10,249.06